Entry 1:
DFT (PBE-GGA) results for crystalline Fe2TcP at its relaxed geometry.

The formation enthalpy at 0 K comes out at -0.195 eV/atom. For the total magnetic moment, the calculation gives 2.4 Bohr magnetons per cell. The calculation puts the total energy at -8.3698 eV/atom.

The structure belongs to space group Immm (No. 71); the cell edges are 2.789, 4.070 and 8.122 Å and the angles 90.00°, 90.00° and 90.00°. Symmetry generates all atoms from Fe at (0.000, 0.000, 0.221), Tc at (0.000, 0.500, 0.000) and P at (0.000, 0.500, 0.500).

Entry 2:
DFT (PBE-GGA) results for crystalline Ce3Si11Pt23 at its relaxed geometry.

For the uncorrected formation energy, the calculation gives -893 meV/atom. For the total magnetic moment, the calculation gives 20.0 Bohr magnetons per cell. The calculation puts the total energy at -6.7414 eV/atom.

The structure belongs to space group Fm-3m (No. 225); the cell edges are 17.048, 17.048 and 17.048 Å and the angles 90.00°, 90.00° and 90.00°. Symmetry generates all atoms from Ce at (0.000, 0.250, 0.250), Si at (0.000, 0.000, 0.171), Si at (0.106, 0.106, 0.394), Si at (0.166, 0.166, 0.166), Pt at (0.000, 0.000, 0.374), Pt at (0.083, 0.083, 0.083), Pt at (0.084, 0.084, 0.252) and Pt at (0.191, 0.191, 0.309).

Entry 3:
DFT (PBE-GGA) results for crystalline ZrTaTc4 at its relaxed geometry.

The formation enthalpy at 0 K comes out at -0.174 eV/atom. For the total magnetic moment, the calculation gives 0.0 Bohr magnetons per cell. The calculation puts the total energy at -10.4849 eV/atom.

The structure belongs to space group F-43m (No. 216); the cell edges are 7.374, 7.374 and 7.374 Å and the angles 90.00°, 90.00° and 90.00°. Symmetry generates all atoms from Zr at (0.000, 0.000, 0.000), Ta at (0.250, 0.250, 0.250) and Tc at (0.125, 0.125, 0.625).

Entry 4:
DFT (PBE-GGA) results for crystalline AcAl4Pd2 at its relaxed geometry.

The value obtained for the energy above the most stable polymorph in this dataset is 0 kJ/mol of formula units. The formation enthalpy at 0 K comes out at -0.660 eV/atom. For the total magnetic moment, the calculation gives 0.0 Bohr magnetons per cell. The calculation puts the total energy at -4.8691 eV/atom.

The structure belongs to space group P4_2/mnm (No. 136); the cell edges are 8.056, 8.056 and 4.155 Å and the angles 90.00°, 90.00° and 90.00°. Symmetry generates all atoms from Ac at (0.000, 0.000, 0.000), Al at (0.080, 0.342, 0.500) and Pd at (0.219, 0.781, 0.500).